Record 1
Below is a relaxed RuPtAu2 crystal, with properties calculated at the PBE level.

Computed properties:
DOS(E_F) in states/eV/f.u.: 4.15
Raw total energy in eV/atom: -5.144
Total moment in Bohr magnetons per cell: 1.23
ΔE_f in eV/atom: 0.3242

Cell lengths 2.797, 4.856, 4.930 Å; angles 90.00, 90.00, 90.00 degrees
Space group Pmmm (No. 47)
One atom of each set of equivalent atoms:
1 Ru 0.000 0.000 0.000
2 Pt 0.500 0.500 0.000
3 Au 0.000 0.500 0.500
4 Au 0.500 0.000 0.500



Record 2
Below is a relaxed Ru2PtAu crystal, with properties calculated at the PBE level.

Computed properties:
DOS(E_F) in states/eV/f.u.: 5.90
Raw total energy in eV/atom: -6.672
Total moment in Bohr magnetons per cell: 0.01
ΔE_f in eV/atom: 0.2950

Cell lengths 9.188, 2.776, 4.891 Å; angles 90.00, 99.78, 90.00 degrees
Space group C2/m (No. 12)
One atom of each set of equivalent atoms:
1 Ru 0.245 0.000 0.232
2 Pt 0.000 0.500 0.000
3 Au 0.000 0.000 0.500